No. 1
DFT (PBE-GGA) results for a relaxed structure of PrNdI4.

Output
The calculation puts the raw total energy at -3.84 eV/atom. Its distance to the lowest polymorph of the same formula is 79.6 meV/atom. The spin magnetization comes out at 0.00 Bohr magnetons per cell. The density comes out at 5.43 g/cm³.

Unit cell a=6.305 b=6.305 c=7.550 alpha=114.68 beta=114.68 gamma=90.00
Positions (direct):
Pr: 0.500 0.500 0.000
Nd: 0.250 0.750 0.500
I: 0.986 0.486 0.972
I: 0.766 0.766 0.532
I: 0.514 0.014 0.028
I: 0.234 0.234 0.468

---

No. 2
DFT (PBE-GGA) results for a relaxed structure of LiC12.

Output
The calculation puts the raw total energy at -8.67 eV/atom. The spin magnetization comes out at 0.00 Bohr magnetons per cell. The density comes out at 2.01 g/cm³.

Unit cell a=4.300 b=4.300 c=15.557 alpha=90.00 beta=90.00 gamma=120.00
Positions (direct):
Li: 0.833 0.833 0.750
Li: 0.167 0.167 0.250
C: 0.833 0.167 0.128
C: 0.833 0.167 0.372
C: 0.500 0.167 0.128
C: 0.500 0.167 0.372
C: 0.833 0.167 0.628
C: 0.833 0.167 0.872
C: 0.833 0.500 0.628
C: 0.833 0.500 0.872
C: 0.167 0.833 0.128
C: 0.167 0.833 0.372
C: 0.833 0.833 0.128
C: 0.833 0.833 0.372
C: 0.167 0.833 0.628
C: 0.167 0.833 0.872
C: 0.167 0.167 0.628
C: 0.167 0.167 0.872
C: 0.500 0.500 0.128
C: 0.500 0.500 0.372
C: 0.167 0.500 0.128
C: 0.167 0.500 0.372
C: 0.500 0.500 0.628
C: 0.500 0.500 0.872
C: 0.500 0.833 0.628
C: 0.500 0.833 0.872

---

No. 3
DFT (PBE-GGA) results for a relaxed structure of CsHg2H.

Output
The calculation puts the raw total energy at -1.04 eV/atom. Its distance to the lowest polymorph of the same formula is 47.2 meV/atom. The spin magnetization comes out at 0.00 Bohr magnetons per cell. The density comes out at 6.16 g/cm³.

Unit cell a=5.887 b=5.887 c=5.887 alpha=60.00 beta=60.00 gamma=60.00
Positions (direct):
Cs: 0.500 0.500 0.500
H: 0.000 0.000 0.000
Hg: 0.250 0.250 0.250
Hg: 0.750 0.750 0.750

---

No. 4
DFT (PBE-GGA) results for a relaxed structure of SmDyAu.

Output
The calculation puts the raw total energy at -4.60 eV/atom. Its distance to the lowest polymorph of the same formula is 211.3 meV/atom. The spin magnetization comes out at 0.00 Bohr magnetons per cell. The density comes out at 10.35 g/cm³.

Unit cell a=3.883 b=4.931 c=4.931 alpha=120.00 beta=90.00 gamma=90.00
Positions (direct):
Au: 0.307 0.333 0.667
Sm: 0.613 0.667 0.333
Dy: 0.079 0.000 0.000